Record 1
A plane-wave DFT calculation with PBE was carried out for a geometry-optimized Rb3NaSc structure.

Density, g/cm³: 1.3
Symmetry: Pm-3m
ΔE_f, eV per atom: 0.740

The structure in CIF format:
```
data_Rb3NaSc
_chemical_formula_sum 'Rb3 Na1 Sc1'
_symmetry_space_group_name_H-M 'P 1'
_symmetry_Int_Tables_number 1
_cell_length_a 7.413
_cell_length_b 7.413
_cell_length_c 7.413
_cell_angle_alpha 90.00
_cell_angle_beta 90.00
_cell_angle_gamma 90.00
loop_
_symmetry_equiv_pos_as_xyz
'x,y,z'
loop_
_atom_site_label
_atom_site_type_symbol
_atom_site_fract_x
_atom_site_fract_y
_atom_site_fract_z
Sc1 Sc 0.000 0.000 0.000
Na1 Na 0.500 0.500 0.500
Rb1 Rb 0.000 0.500 0.000
Rb2 Rb 0.000 0.000 0.500
Rb3 Rb 0.500 0.000 0.000
```


Record 2
A plane-wave DFT calculation with PBE was carried out for a geometry-optimized RbNaSc2 structure.

Density, g/cm³: 2.4
Symmetry: Fm-3m
ΔE_f, eV per atom: 0.903

The structure in CIF format:
```
data_RbNaSc2
_chemical_formula_sum 'Rb1 Na1 Sc2'
_symmetry_space_group_name_H-M 'P 1'
_symmetry_Int_Tables_number 1
_cell_length_a 5.811
_cell_length_b 5.811
_cell_length_c 5.811
_cell_angle_alpha 60.00
_cell_angle_beta 60.00
_cell_angle_gamma 60.00
loop_
_symmetry_equiv_pos_as_xyz
'x,y,z'
loop_
_atom_site_label
_atom_site_type_symbol
_atom_site_fract_x
_atom_site_fract_y
_atom_site_fract_z
Sc1 Sc 0.250 0.250 0.250
Sc2 Sc 0.750 0.750 0.750
Na1 Na 0.000 0.000 0.000
Rb1 Rb 0.500 0.500 0.500
```


Record 3
A plane-wave DFT calculation with PBE was carried out for a geometry-optimized RbNaSc3 structure.

Density, g/cm³: 2.2
Symmetry: Pm-3m
ΔE_f, eV per atom: 1.103

The structure in CIF format:
```
data_RbNaSc3
_chemical_formula_sum 'Rb1 Na1 Sc3'
_symmetry_space_group_name_H-M 'P 1'
_symmetry_Int_Tables_number 1
_cell_length_a 5.651
_cell_length_b 5.651
_cell_length_c 5.651
_cell_angle_alpha 90.00
_cell_angle_beta 90.00
_cell_angle_gamma 90.00
loop_
_symmetry_equiv_pos_as_xyz
'x,y,z'
loop_
_atom_site_label
_atom_site_type_symbol
_atom_site_fract_x
_atom_site_fract_y
_atom_site_fract_z
Sc1 Sc 0.000 0.500 0.000
Sc2 Sc 0.000 0.000 0.500
Sc3 Sc 0.500 0.000 0.000
Na1 Na 0.000 0.000 0.000
Rb1 Rb 0.500 0.500 0.500
```


Record 4
A plane-wave DFT calculation with PBE was carried out for a geometry-optimized RbNa2SrSc structure.

Density, g/cm³: 1.8
Symmetry: P4/mmm
ΔE_f, eV per atom: 0.805

The structure in CIF format:
```
data_RbNa2SrSc
_chemical_formula_sum 'Rb1 Na2 Sr1 Sc1'
_symmetry_space_group_name_H-M 'P 1'
_symmetry_Int_Tables_number 1
_cell_length_a 6.057
_cell_length_b 6.504
_cell_length_c 6.057
_cell_angle_alpha 90.00
_cell_angle_beta 90.00
_cell_angle_gamma 90.00
loop_
_symmetry_equiv_pos_as_xyz
'x,y,z'
loop_
_atom_site_label
_atom_site_type_symbol
_atom_site_fract_x
_atom_site_fract_y
_atom_site_fract_z
Sc1 Sc 0.000 0.500 0.000
Sr1 Sr 0.500 0.500 0.500
Rb1 Rb 0.000 0.000 0.000
Na1 Na 0.000 0.000 0.500
Na2 Na 0.500 0.000 0.000
```


Record 5
A plane-wave DFT calculation with PBE was carried out for a geometry-optimized RbNaSc2V structure.

Density, g/cm³: 2.6
Symmetry: P4/mmm
ΔE_f, eV per atom: 1.591

The structure in CIF format:
```
data_RbNaSc2V
_chemical_formula_sum 'Rb1 Na1 Sc2 V1'
_symmetry_space_group_name_H-M 'P 1'
_symmetry_Int_Tables_number 1
_cell_length_a 5.497
_cell_length_b 5.180
_cell_length_c 5.497
_cell_angle_alpha 90.00
_cell_angle_beta 90.00
_cell_angle_gamma 90.00
loop_
_symmetry_equiv_pos_as_xyz
'x,y,z'
loop_
_atom_site_label
_atom_site_type_symbol
_atom_site_fract_x
_atom_site_fract_y
_atom_site_fract_z
Sc1 Sc 0.000 0.000 0.500
Sc2 Sc 0.500 0.000 0.000
Na1 Na 0.000 0.000 0.000
Rb1 Rb 0.500 0.500 0.500
V1 V 0.000 0.500 0.000
```


Record 6
A plane-wave DFT calculation with PBE was carried out for a geometry-optimized Rb2NaSe structure.

Density, g/cm³: 1.6
Symmetry: R-3m
Uncorrected formation energy, eV/atom: -0.52

The structure in CIF format:
```
data_Rb2NaSe
_chemical_formula_sum 'Rb2 Na1 Se1'
_symmetry_space_group_name_H-M 'P 1'
_symmetry_Int_Tables_number 1
_cell_length_a 5.062
_cell_length_b 5.062
_cell_length_c 12.823
_cell_angle_alpha 78.61
_cell_angle_beta 78.61
_cell_angle_gamma 60.00
loop_
_symmetry_equiv_pos_as_xyz
'x,y,z'
loop_
_atom_site_label
_atom_site_type_symbol
_atom_site_fract_x
_atom_site_fract_y
_atom_site_fract_z
Na1 Na 0.000 0.000 0.000
Se1 Se 0.500 0.500 0.500
Rb1 Rb 0.125 0.125 0.626
Rb2 Rb 0.875 0.875 0.374
```


Record 7
A plane-wave DFT calculation with PBE was carried out for a geometry-optimized Rb2Na2Se structure.

Density, g/cm³: 2.4
Symmetry: P4/mbm
Uncorrected formation energy, eV/atom: -0.40

The structure in CIF format:
```
data_Rb2Na2Se
_chemical_formula_sum 'Rb4 Na4 Se2'
_symmetry_space_group_name_H-M 'P 1'
_symmetry_Int_Tables_number 1
_cell_length_a 8.093
_cell_length_b 8.093
_cell_length_c 6.248
_cell_angle_alpha 90.00
_cell_angle_beta 90.00
_cell_angle_gamma 90.00
loop_
_symmetry_equiv_pos_as_xyz
'x,y,z'
loop_
_atom_site_label
_atom_site_type_symbol
_atom_site_fract_x
_atom_site_fract_y
_atom_site_fract_z
Na1 Na 0.345 0.845 0.000
Na2 Na 0.845 0.655 0.000
Na3 Na 0.655 0.155 0.000
Na4 Na 0.155 0.345 0.000
Se1 Se 0.000 0.000 0.000
Se2 Se 0.500 0.500 0.000
Rb1 Rb 0.197 0.697 0.500
Rb2 Rb 0.697 0.803 0.500
Rb3 Rb 0.803 0.303 0.500
Rb4 Rb 0.303 0.197 0.500
```


Record 8
A plane-wave DFT calculation with PBE was carried out for a geometry-optimized RbNaSe2 structure.

Density, g/cm³: 3.5
Symmetry: Pnma
Uncorrected formation energy, eV/atom: -0.79

The structure in CIF format:
```
data_RbNaSe2
_chemical_formula_sum 'Rb4 Na4 Se8'
_symmetry_space_group_name_H-M 'P 1'
_symmetry_Int_Tables_number 1
_cell_length_a 4.485
_cell_length_b 9.421
_cell_length_c 12.035
_cell_angle_alpha 90.00
_cell_angle_beta 90.00
_cell_angle_gamma 90.00
loop_
_symmetry_equiv_pos_as_xyz
'x,y,z'
loop_
_atom_site_label
_atom_site_type_symbol
_atom_site_fract_x
_atom_site_fract_y
_atom_site_fract_z
Rb1 Rb 0.750 0.366 0.365
Rb2 Rb 0.250 0.634 0.635
Rb3 Rb 0.750 0.866 0.135
Rb4 Rb 0.250 0.134 0.865
Na1 Na 0.750 0.358 0.095
Na2 Na 0.250 0.642 0.905
Na3 Na 0.750 0.858 0.405
Na4 Na 0.250 0.142 0.595
Se1 Se 0.250 0.070 0.359
Se2 Se 0.750 0.930 0.641
Se3 Se 0.250 0.570 0.141
Se4 Se 0.750 0.430 0.859
Se5 Se 0.250 0.155 0.168
Se6 Se 0.750 0.845 0.832
Se7 Se 0.250 0.655 0.332
Se8 Se 0.750 0.345 0.668
```


Record 9
A plane-wave DFT calculation with PBE was carried out for a geometry-optimized Rb3NaSe structure.

Density, g/cm³: 1.9
Symmetry: Pm-3m
Uncorrected formation energy, eV/atom: -0.55

The structure in CIF format:
```
data_Rb3NaSe
_chemical_formula_sum 'Rb3 Na1 Se1'
_symmetry_space_group_name_H-M 'P 1'
_symmetry_Int_Tables_number 1
_cell_length_a 6.734
_cell_length_b 6.734
_cell_length_c 6.734
_cell_angle_alpha 90.00
_cell_angle_beta 90.00
_cell_angle_gamma 90.00
loop_
_symmetry_equiv_pos_as_xyz
'x,y,z'
loop_
_atom_site_label
_atom_site_type_symbol
_atom_site_fract_x
_atom_site_fract_y
_atom_site_fract_z
Na1 Na 0.500 0.500 0.500
Se1 Se 0.000 0.000 0.000
Rb1 Rb 0.000 0.500 0.000
Rb2 Rb 0.000 0.000 0.500
Rb3 Rb 0.500 0.000 0.000
```


Record 10
A plane-wave DFT calculation with PBE was carried out for a geometry-optimized RbNa2Se structure.

Density, g/cm³: 2.1
Symmetry: R3m
Uncorrected formation energy, eV/atom: -0.67

The structure in CIF format:
```
data_RbNa2Se
_chemical_formula_sum 'Rb1 Na2 Se1'
_symmetry_space_group_name_H-M 'P 1'
_symmetry_Int_Tables_number 1
_cell_length_a 4.822
_cell_length_b 4.822
_cell_length_c 8.798
_cell_angle_alpha 74.10
_cell_angle_beta 74.10
_cell_angle_gamma 60.00
loop_
_symmetry_equiv_pos_as_xyz
'x,y,z'
loop_
_atom_site_label
_atom_site_type_symbol
_atom_site_fract_x
_atom_site_fract_y
_atom_site_fract_z
Rb1 Rb 0.510 0.510 0.469
Na1 Na 0.035 0.035 0.895
Na2 Na 0.295 0.295 0.115
Se1 Se 0.659 0.659 0.022
```


Record 11
A plane-wave DFT calculation with PBE was carried out for a geometry-optimized RbNaSe3 structure.

Density, g/cm³: 2.3
Symmetry: Pm-3m
Uncorrected formation energy, eV/atom: 0.43

The structure in CIF format:
```
data_RbNaSe3
_chemical_formula_sum 'Rb1 Na1 Se3'
_symmetry_space_group_name_H-M 'P 1'
_symmetry_Int_Tables_number 1
_cell_length_a 6.261
_cell_length_b 6.261
_cell_length_c 6.261
_cell_angle_alpha 90.00
_cell_angle_beta 90.00
_cell_angle_gamma 90.00
loop_
_symmetry_equiv_pos_as_xyz
'x,y,z'
loop_
_atom_site_label
_atom_site_type_symbol
_atom_site_fract_x
_atom_site_fract_y
_atom_site_fract_z
Na1 Na 0.500 0.500 0.500
Se1 Se 0.000 0.500 0.000
Se2 Se 0.000 0.000 0.500
Se3 Se 0.500 0.000 0.000
Rb1 Rb 0.000 0.000 0.000
```


Record 12
A plane-wave DFT calculation with PBE was carried out for a geometry-optimized RbNaSe2 structure.

Density, g/cm³: 3.2
Symmetry: R-3m
Uncorrected formation energy, eV/atom: -0.25

The structure in CIF format:
```
data_RbNaSe2
_chemical_formula_sum 'Rb1 Na1 Se2'
_symmetry_space_group_name_H-M 'P 1'
_symmetry_Int_Tables_number 1
_cell_length_a 10.820
_cell_length_b 10.820
_cell_length_c 10.820
_cell_angle_alpha 20.63
_cell_angle_beta 20.63
_cell_angle_gamma 20.63
loop_
_symmetry_equiv_pos_as_xyz
'x,y,z'
loop_
_atom_site_label
_atom_site_type_symbol
_atom_site_fract_x
_atom_site_fract_y
_atom_site_fract_z
Na1 Na 0.000 0.000 0.000
Se1 Se 0.915 0.915 0.915
Se2 Se 0.085 0.085 0.085
Rb1 Rb 0.500 0.500 0.500
```